[1]
Compound: Tm3Al4Au2
Source: the Alexandria database
Functional: PBE-GGA
Structure: optimized geometry

Summary:
D(E_F): 4.2 states/eV/f.u.
total DFT energy (no corrections): -81.91 eV for the cell shown

a = 10.5791 Å, b = 4.5219 Å, c = 8.5234 Å
α = 90.00°, β = 113.99°, γ = 90.00°
With the nearest neighbours (Å) after each atom.
Space group C2/m (No. 12)
Inequivalent atoms, fractional coordinates:
Tm: 0.0000 0.0000 0.0000 x2  8 Al 2.98-3.23, 4 Au 3.09
Tm: 0.1758 0.5000 0.6538 x4  4 Au 3.04-3.23, 8 Al 3.07-3.37
Al: 0.0252 0.0000 0.3615 x4  2 Au 2.61, 1 Al 2.62
Al: 0.2359 0.5000 0.0735 x4  1 Au 2.62, 2 Al 2.66
Au: 0.0990 0.5000 0.2696 x4  3 Al 2.61-2.62



[2]
Compound: AlAg2Ir
Source: the Alexandria database
Functional: PBE-GGA
Structure: optimized geometry

Summary:
D(E_F): 1.3 states/eV/f.u.
total DFT energy (no corrections): -37.02 eV for the cell shown

a = 4.2241 Å, b = 4.2241 Å, c = 7.1329 Å
α = 90.00°, β = 90.00°, γ = 90.00°
With the nearest neighbours (Å) after each atom.
Space group I-4m2 (No. 119)
Inequivalent atoms, fractional coordinates:
Al: 0.0000 0.0000 0.0000 x2  4 Ir 2.76, 8 Ag 2.76-2.99
Ag: 0.0000 0.0000 0.5000 x2  4 Ir 2.76, 4 Ag 2.76, 4 Al 2.99
Ag: 0.0000 0.5000 0.2500 x2  4 Al 2.76, 4 Ag 2.76, 4 Ir 2.99
Ir: 0.0000 0.5000 0.7500 x2  4 Al 2.76, 8 Ag 2.76-2.99



[3]
Compound: NbPdSI
Source: the Alexandria database
Functional: PBE-GGA
Structure: optimized geometry

Summary:
distance to the lowest polymorph of the same formula: 2.58 kcal/mol of atoms
D(E_F): 1.3 states/eV/f.u.
energy relative to the elements, uncorrected: -0.22 eV/atom
total DFT energy (no corrections): -21.84 eV for the cell shown

a = 3.7001 Å, b = 4.5801 Å, c = 7.8004 Å
α = 79.11°, β = 85.42°, γ = 66.24°
With the nearest neighbours (Å) after each atom.
Space group P1 (No. 1)
Inequivalent atoms, fractional coordinates:
Nb: 0.0000 0.0000 0.0000 x1  2 S 2.48, 1 I 2.63, 3 Pd 2.65-2.66
Pd: 0.2963 0.3683 0.1156 x1  3 S 2.54-2.60, 3 Nb 2.65-2.66
S: 0.5899 0.7550 0.1912 x1  2 Nb 2.48, 3 Pd 2.54-2.60
I: 0.0194 0.0854 0.6571 x1  1 Nb 2.63



[4]
Compound: Co2AsAu
Source: the Alexandria database
Functional: PBE-GGA
Structure: optimized geometry

Summary:
D(E_F): 3.4 states/eV/f.u.
total DFT energy (no corrections): -81.87 eV for the cell shown

a = 3.8918 Å, b = 3.8918 Å, c = 17.0520 Å
α = 90.00°, β = 90.00°, γ = 90.00°
With the nearest neighbours (Å) after each atom.
Space group I-42d (No. 122)
Inequivalent atoms, fractional coordinates:
Co: 0.1564 0.2500 0.1250 x8  2 Co 2.30, 2 As 2.42
As: 0.0000 0.0000 0.0000 x4  4 Co 2.42
Au: 0.0000 0.0000 0.5000 x4  4 Co 2.70, 4 As 2.75



[5]
Compound: Sr2RuAu
Source: the Alexandria database
Functional: PBE-GGA
Structure: optimized geometry

Summary:
D(E_F): 1.1 states/eV/f.u.
total DFT energy (no corrections): -45.34 eV for the cell shown

a = 3.8771 Å, b = 3.8771 Å, c = 26.1165 Å
α = 90.00°, β = 90.00°, γ = 120.00°
With the nearest neighbours (Å) after each atom.
Space group R-3m (No. 166, hexagonal axes)
Inequivalent atoms, fractional coordinates:
Sr: 0.0000 0.0000 0.2444 x6  3 Ru 3.02, 3 Au 3.23
Ru: 0.0000 0.0000 0.5000 x3  6 Sr 3.02
Au: 0.0000 0.0000 0.0000 x3  6 Sr 3.23



[6]
Compound: LaTi2Fe
Source: the Alexandria database
Functional: PBE-GGA
Structure: optimized geometry

Summary:
distance to the lowest polymorph of the same formula: 0.00 kcal/mol of atoms
D(E_F): 7.0 states/eV/f.u.
total DFT energy (no corrections): -110.87 eV for the cell shown

a = 6.5198 Å, b = 6.5198 Å, c = 6.5198 Å
α = 90.00°, β = 90.00°, γ = 90.00°
With the nearest neighbours (Å) after each atom.
Space group Fm-3m (No. 225)
Inequivalent atoms, fractional coordinates:
La: 0.0000 0.0000 0.0000 x4  8 Ti 2.82
Ti: 0.2500 0.2500 0.2500 x8  4 La 2.82, 4 Fe 2.82
Fe: 0.0000 0.0000 0.5000 x4  8 Ti 2.82